(1)
{
  "formula": "LiVP2O7",
  "functional": "PBEsol",
  "state": "optimized geometry",
  "e_tot_ev_per_cell": -338.58,
  "formation_energy_uncorrected_ev_per_atom": -2.247,
  "volume_a3_per_cell": 546.6,
  "cell": [[7.267, 0.000, 0.000], [0.000, 9.936, 0.000], [-2.884, 0.000, 7.570]],
  "species": ["Li", "Li", "Li", "Li", "V", "V", "V", "V", "P", "P", "P", "P", "P", "P", "P", "P", "O", "O", "O", "O", "O", "O", "O", "O", "O", "O", "O", "O", "O", "O", "O", "O", "O", "O", "O", "O", "O", "O", "O", "O", "O", "O", "O", "O"],
  "frac_coords": [[0.013, 0.194, 0.451], [0.013, 0.306, 0.951], [0.987, 0.694, 0.049], [0.987, 0.806, 0.549], [0.239, 0.107, 0.256], [0.239, 0.393, 0.756], [0.761, 0.607, 0.244], [0.761, 0.893, 0.744], [0.140, 0.083, 0.815], [0.140, 0.417, 0.315], [0.456, 0.141, 0.700], [0.456, 0.359, 0.200], [0.544, 0.641, 0.800], [0.544, 0.859, 0.300], [0.860, 0.583, 0.685], [0.860, 0.917, 0.185], [0.017, 0.536, 0.220], [0.017, 0.964, 0.720], [0.074, 0.216, 0.712], [0.074, 0.284, 0.212], [0.136, 0.104, 0.999], [0.136, 0.396, 0.499], [0.307, 0.126, 0.511], [0.307, 0.374, 0.011], [0.347, 0.575, 0.768], [0.347, 0.925, 0.268], [0.360, 0.057, 0.823], [0.360, 0.443, 0.323], [0.473, 0.212, 0.261], [0.473, 0.288, 0.761], [0.527, 0.712, 0.239], [0.527, 0.788, 0.739], [0.640, 0.557, 0.677], [0.640, 0.943, 0.177], [0.653, 0.075, 0.732], [0.653, 0.425, 0.232], [0.693, 0.626, 0.989], [0.693, 0.874, 0.489], [0.864, 0.604, 0.501], [0.864, 0.896, 0.001], [0.926, 0.716, 0.788], [0.926, 0.784, 0.288], [0.983, 0.036, 0.280], [0.983, 0.464, 0.780]]
}


(2)
{
  "formula": "LiV3P3O13",
  "functional": "PBEsol",
  "state": "optimized geometry",
  "e_tot_ev_per_cell": -323.65,
  "formation_energy_uncorrected_ev_per_atom": -2.267,
  "volume_a3_per_cell": 473.1,
  "cell": [[7.351, 0.000, 0.000], [0.000, 6.221, 0.000], [-1.930, 0.000, 10.345]],
  "species": ["Li", "Li", "V", "V", "V", "V", "V", "V", "P", "P", "P", "P", "P", "P", "O", "O", "O", "O", "O", "O", "O", "O", "O", "O", "O", "O", "O", "O", "O", "O", "O", "O", "O", "O", "O", "O", "O", "O", "O", "O"],
  "frac_coords": [[0.123, 0.250, 0.131], [0.877, 0.750, 0.869], [0.138, 0.250, 0.807], [0.267, 0.750, 0.449], [0.500, 0.000, 0.000], [0.500, 0.500, 0.000], [0.733, 0.250, 0.551], [0.862, 0.750, 0.193], [0.199, 0.750, 0.125], [0.227, 0.750, 0.770], [0.282, 0.250, 0.525], [0.718, 0.750, 0.475], [0.773, 0.250, 0.230], [0.801, 0.250, 0.875], [0.001, 0.250, 0.955], [0.109, 0.558, 0.797], [0.109, 0.942, 0.797], [0.155, 0.750, 0.264], [0.174, 0.250, 0.636], [0.225, 0.050, 0.441], [0.225, 0.450, 0.441], [0.285, 0.750, 0.639], [0.300, 0.542, 0.101], [0.300, 0.958, 0.101], [0.361, 0.250, 0.910], [0.406, 0.750, 0.880], [0.492, 0.250, 0.580], [0.508, 0.750, 0.420], [0.594, 0.250, 0.120], [0.639, 0.750, 0.090], [0.700, 0.042, 0.899], [0.700, 0.458, 0.899], [0.715, 0.250, 0.361], [0.775, 0.550, 0.559], [0.775, 0.950, 0.559], [0.826, 0.750, 0.364], [0.845, 0.250, 0.736], [0.891, 0.058, 0.203], [0.891, 0.442, 0.203], [0.999, 0.750, 0.045]]
}


What did the second record say?
{
  "formula": "LiV3P3O13",
  "functional": "PBEsol",
  "state": "optimized geometry",
  "e_tot_ev_per_cell": -323.65,
  "formation_energy_uncorrected_ev_per_atom": -2.267,
  "volume_a3_per_cell": 473.1,
  "cell": [[7.351, 0.000, 0.000], [0.000, 6.221, 0.000], [-1.930, 0.000, 10.345]],
  "species": ["Li", "Li", "V", "V", "V", "V", "V", "V", "P", "P", "P", "P", "P", "P", "O", "O", "O", "O", "O", "O", "O", "O", "O", "O", "O", "O", "O", "O", "O", "O", "O", "O", "O", "O", "O", "O", "O", "O", "O", "O"],
  "frac_coords": [[0.123, 0.250, 0.131], [0.877, 0.750, 0.869], [0.138, 0.250, 0.807], [0.267, 0.750, 0.449], [0.500, 0.000, 0.000], [0.500, 0.500, 0.000], [0.733, 0.250, 0.551], [0.862, 0.750, 0.193], [0.199, 0.750, 0.125], [0.227, 0.750, 0.770], [0.282, 0.250, 0.525], [0.718, 0.750, 0.475], [0.773, 0.250, 0.230], [0.801, 0.250, 0.875], [0.001, 0.250, 0.955], [0.109, 0.558, 0.797], [0.109, 0.942, 0.797], [0.155, 0.750, 0.264], [0.174, 0.250, 0.636], [0.225, 0.050, 0.441], [0.225, 0.450, 0.441], [0.285, 0.750, 0.639], [0.300, 0.542, 0.101], [0.300, 0.958, 0.101], [0.361, 0.250, 0.910], [0.406, 0.750, 0.880], [0.492, 0.250, 0.580], [0.508, 0.750, 0.420], [0.594, 0.250, 0.120], [0.639, 0.750, 0.090], [0.700, 0.042, 0.899], [0.700, 0.458, 0.899], [0.715, 0.250, 0.361], [0.775, 0.550, 0.559], [0.775, 0.950, 0.559], [0.826, 0.750, 0.364], [0.845, 0.250, 0.736], [0.891, 0.058, 0.203], [0.891, 0.442, 0.203], [0.999, 0.750, 0.045]]
}


What is the formula in the second record? LiV3P3O13